*w*
Below is a geometry-optimized MgPdSN2 structure, with properties calculated at the PBE level.

Cell lengths 3.917, 3.917, 5.300 Å; angles 90.00, 90.00, 90.00 degrees
Space group P4/mmm (No. 123)
One atom of each set of equivalent atoms:
Mg1 0.000 0.000 0.000
Pd1 0.500 0.500 0.500
S1 0.500 0.500 0.000
N1 0.000 0.500 0.500

---

*x*
Below is a geometry-optimized MgPdSN2 structure, with properties calculated at the PBE level.

Cell lengths 3.910, 3.910, 5.116 Å; angles 90.00, 90.00, 90.00 degrees
Space group P4/mmm (No. 123)
One atom of each set of equivalent atoms:
Mg1 0.000 0.000 0.000
Pd1 0.500 0.500 0.500
S1 0.000 0.000 0.500
N1 0.000 0.500 0.000

---

Stability, lowest: *x*

---

*w*
Below is a geometry-optimized MgTePdN2 structure, with properties calculated at the PBE level.

Cell lengths 4.020, 4.020, 6.161 Å; angles 90.00, 90.00, 90.00 degrees
Space group P4/mmm (No. 123)
One atom of each set of equivalent atoms:
Mg1 0.000 0.000 0.000
Te1 0.000 0.000 0.500
Pd1 0.500 0.500 0.500
N1 0.000 0.500 0.000

---

*x*
Below is a geometry-optimized MgTePdN2 structure, with properties calculated at the PBE level.

Cell lengths 4.057, 4.057, 5.802 Å; angles 90.00, 90.00, 90.00 degrees
Space group P4/mmm (No. 123)
One atom of each set of equivalent atoms:
Mg1 0.000 0.000 0.000
Te1 0.500 0.500 0.000
Pd1 0.500 0.500 0.500
N1 0.000 0.500 0.500

---

Stability, lowest: *w*

---

*w*
Below is a geometry-optimized MgTi2PdN structure, with properties calculated at the PBE level.

Cell lengths 5.056, 5.056, 3.757 Å; angles 90.00, 90.00, 90.00 degrees
Space group P4/mmm (No. 123)
One atom of each set of equivalent atoms:
Mg1 0.000 0.000 0.000
Ti1 0.000 0.500 0.500
Pd1 0.500 0.500 0.500
N1 0.500 0.500 0.000

---

*x*
Below is a geometry-optimized MgTi2PdN structure, with properties calculated at the PBE level.

Cell lengths 4.085, 4.085, 4.275 Å; angles 90.00, 90.00, 90.00 degrees
Space group P4/mmm (No. 123)
One atom of each set of equivalent atoms:
Mg1 0.000 0.000 0.000
Ti1 0.000 0.500 0.500
Pd1 0.500 0.500 0.000
N1 0.000 0.000 0.500

---

Stability, lowest: *w*

---

*w*
Below is a geometry-optimized Pm2MgN structure, with properties calculated at the PBE level.

Cell lengths 3.538, 20.380, 5.170 Å; angles 90.00, 90.00, 90.00 degrees
Space group Cmcm (No. 63)
One atom of each set of equivalent atoms:
Pm1 0.000 0.118 0.250
Pm2 0.000 0.288 0.250
Mg1 0.000 0.460 0.250
N1 0.000 0.298 0.750

---

*x*
Below is a geometry-optimized Pm2MgN structure, with properties calculated at the PBE level.

Cell lengths 3.5962, 3.5962, 25.9062 Å; angles 90.00, 90.00, 120.00 degrees
Space group R-3m (No. 166, hexagonal axes)
One atom of each set of equivalent atoms:
Pm1 0.0000 0.0000 0.2200
Mg1 0.0000 0.0000 0.0000
N1 0.0000 0.0000 0.5000

---

Stability, lowest: *x*

---

*w*
Below is a geometry-optimized MgPtSN2 structure, with properties calculated at the PBE level.

Cell lengths 3.704, 3.704, 8.091 Å; angles 90.00, 90.00, 90.00 degrees
Space group P4/mmm (No. 123)
One atom of each set of equivalent atoms:
Mg1 0.000 0.000 0.000
Pt1 0.500 0.500 0.500
S1 0.500 0.500 0.000
N1 0.000 0.500 0.500

---

*x*
Below is a geometry-optimized MgPtSN2 structure, with properties calculated at the PBE level.

Cell lengths 3.852, 3.852, 5.155 Å; angles 90.00, 90.00, 90.00 degrees
Space group P4/mmm (No. 123)
One atom of each set of equivalent atoms:
Mg1 0.000 0.000 0.000
Pt1 0.500 0.500 0.500
S1 0.000 0.000 0.500
N1 0.000 0.500 0.000

---

Stability, lowest: *x*

---

*w*
Below is a geometry-optimized MgPtSeN2 structure, with properties calculated at the PBE level.

Cell lengths 3.883, 3.883, 5.686 Å; angles 90.00, 90.00, 90.00 degrees
Space group P4/mmm (No. 123)
One atom of each set of equivalent atoms:
Mg1 0.000 0.000 0.000
Pt1 0.500 0.500 0.500
Se1 0.000 0.000 0.500
N1 0.000 0.500 0.000

---

*x*
Below is a geometry-optimized MgPtSeN2 structure, with properties calculated at the PBE level.

Cell lengths 3.743, 3.743, 8.187 Å; angles 90.00, 90.00, 90.00 degrees
Space group P4/mmm (No. 123)
One atom of each set of equivalent atoms:
Mg1 0.000 0.000 0.000
Pt1 0.500 0.500 0.500
Se1 0.500 0.500 0.000
N1 0.000 0.500 0.500

---

Stability, lowest: *w*

---

*w*
Below is a geometry-optimized MgPtSe2N structure, with properties calculated at the PBE level.

Cell lengths 5.260, 5.260, 3.683 Å; angles 90.00, 90.00, 90.00 degrees
Space group P4/mmm (No. 123)
One atom of each set of equivalent atoms:
Mg1 0.000 0.000 0.000
Pt1 0.500 0.500 0.500
Se1 0.000 0.500 0.500
N1 0.500 0.500 0.000

---

*x*
Below is a geometry-optimized MgPtSe2N structure, with properties calculated at the PBE level.

Cell lengths 5.033, 5.033, 3.821 Å; angles 90.00, 90.00, 90.00 degrees
Space group P4/mmm (No. 123)
One atom of each set of equivalent atoms:
Mg1 0.000 0.000 0.000
Pt1 0.500 0.500 0.500
Se1 0.000 0.500 0.000
N1 0.000 0.000 0.500

---

Stability, lowest: *x*